Record 1
# KTcRuS3 PBE relaxed
# Fermi-level density of states	6.999	states/eV per cell
# spin magnetization	0.847	μB per cell
data_KTcRuS3
_chemical_formula_sum 'K2 Tc2 Ru2 S6'
_symmetry_space_group_name_H-M 'P 1 21/m 1'
_symmetry_Int_Tables_number 11
_cell_length_a 7.860
_cell_length_b 3.733
_cell_length_c 9.274
_cell_angle_alpha 90.00
_cell_angle_beta 113.45
_cell_angle_gamma 90.00
loop_
_symmetry_equiv_pos_as_xyz
'x,y,z'
'-x,-y,-z'
'-x,y+1/2,-z'
'x,-y+1/2,z'
loop_
_atom_site_label
_atom_site_fract_x
_atom_site_fract_y
_atom_site_fract_z
K1 0.248 0.250 0.255
Tc1 0.296 0.750 0.843
Ru1 0.087 0.250 0.615
S1 0.116 0.250 0.870
S2 0.228 0.750 0.566
S3 0.480 0.750 0.129


Record 2
# KTlRu2S PBE relaxed
# Fermi-level density of states	10.275	states/eV per cell
# spin magnetization	4.842	μB per cell
data_KTlRu2S
_chemical_formula_sum 'K1 Tl1 Ru2 S1'
_symmetry_space_group_name_H-M 'P 4/m m m'
_symmetry_Int_Tables_number 123
_symmetry_space_group_name_Hall '-P 4 2'
_cell_length_a 4.951
_cell_length_b 4.951
_cell_length_c 5.390
_cell_angle_alpha 90.00
_cell_angle_beta 90.00
_cell_angle_gamma 90.00
loop_
_atom_site_label
_atom_site_fract_x
_atom_site_fract_y
_atom_site_fract_z
K1 0.000 0.000 0.000
Tl1 0.500 0.500 0.500
Ru1 0.000 0.500 0.000
S1 0.000 0.000 0.500


Record 3
# KURuS3 PBE relaxed
# Fermi-level density of states	11.413	states/eV per cell
# spin magnetization	3.821	μB per cell
data_KURuS3
_chemical_formula_sum 'K2 U2 Ru2 S6'
_symmetry_space_group_name_H-M 'P 1 21/m 1'
_symmetry_Int_Tables_number 11
_cell_length_a 8.790
_cell_length_b 3.875
_cell_length_c 9.224
_cell_angle_alpha 90.00
_cell_angle_beta 108.83
_cell_angle_gamma 90.00
loop_
_symmetry_equiv_pos_as_xyz
'x,y,z'
'-x,-y,-z'
'-x,y+1/2,-z'
'x,-y+1/2,z'
loop_
_atom_site_label
_atom_site_fract_x
_atom_site_fract_y
_atom_site_fract_z
K1 0.198 0.250 0.238
U1 0.325 0.750 0.841
Ru1 0.084 0.250 0.594
S1 0.123 0.250 0.861
S2 0.201 0.750 0.534
S3 0.454 0.750 0.154


Record 4
# KVRuS3 PBE relaxed
# Fermi-level density of states	3.827	states/eV per cell
# spin magnetization	0.000	μB per cell
data_KVRuS3
_chemical_formula_sum 'K2 V2 Ru2 S6'
_symmetry_space_group_name_H-M 'P 1 21/m 1'
_symmetry_Int_Tables_number 11
_cell_length_a 8.168
_cell_length_b 3.480
_cell_length_c 9.385
_cell_angle_alpha 90.00
_cell_angle_beta 113.56
_cell_angle_gamma 90.00
loop_
_symmetry_equiv_pos_as_xyz
'x,y,z'
'-x,-y,-z'
'-x,y+1/2,-z'
'x,-y+1/2,z'
loop_
_atom_site_label
_atom_site_fract_x
_atom_site_fract_y
_atom_site_fract_z
K1 0.247 0.250 0.256
V1 0.302 0.750 0.846
Ru1 0.083 0.250 0.620
S1 0.120 0.250 0.877
S2 0.234 0.750 0.574
S3 0.472 0.750 0.128


Record 5
# KYRuS2 PBE relaxed
# Fermi-level density of states	7.712	states/eV per cell
# spin magnetization	2.230	μB per cell
data_KYRuS2
_chemical_formula_sum 'K1 Y1 Ru1 S2'
_symmetry_space_group_name_H-M 'P 4/m m m'
_symmetry_Int_Tables_number 123
_symmetry_space_group_name_Hall '-P 4 2'
_cell_length_a 5.373
_cell_length_b 5.373
_cell_length_c 5.095
_cell_angle_alpha 90.00
_cell_angle_beta 90.00
_cell_angle_gamma 90.00
loop_
_atom_site_label
_atom_site_fract_x
_atom_site_fract_y
_atom_site_fract_z
K1 0.000 0.000 0.000
Y1 0.500 0.500 0.500
Ru1 0.500 0.500 0.000
S1 0.000 0.500 0.500


Record 6
# KZrRu2S PBE relaxed
# Fermi-level density of states	6.149	states/eV per cell
# spin magnetization	2.422	μB per cell
data_KZrRu2S
_chemical_formula_sum 'K1 Zr1 Ru2 S1'
_symmetry_space_group_name_H-M 'P 4/m m m'
_symmetry_Int_Tables_number 123
_symmetry_space_group_name_Hall '-P 4 2'
_cell_length_a 4.521
_cell_length_b 4.521
_cell_length_c 5.388
_cell_angle_alpha 90.00
_cell_angle_beta 90.00
_cell_angle_gamma 90.00
loop_
_atom_site_label
_atom_site_fract_x
_atom_site_fract_y
_atom_site_fract_z
K1 0.000 0.000 0.000
Zr1 0.000 0.000 0.500
Ru1 0.000 0.500 0.000
S1 0.500 0.500 0.500


Record 7
# KSbRu2 PBE relaxed
# Fermi-level density of states	15.325	states/eV per cell
# spin magnetization	7.186	μB per cell
data_KSbRu2
_chemical_formula_sum 'K4 Sb4 Ru8'
_symmetry_space_group_name_H-M 'F -4 3 m'
_symmetry_Int_Tables_number 216
_symmetry_space_group_name_Hall 'F -4 2 3'
_cell_length_a 6.738
_cell_length_b 6.738
_cell_length_c 6.738
_cell_angle_alpha 90.00
_cell_angle_beta 90.00
_cell_angle_gamma 90.00
loop_
_atom_site_label
_atom_site_fract_x
_atom_site_fract_y
_atom_site_fract_z
K1 0.000 0.000 0.000
Sb1 0.250 0.250 0.250
Ru1 0.000 0.000 0.500
Ru2 0.250 0.250 0.750


Record 8
# KSbRu2 PBE relaxed
# Fermi-level density of states	6.403	states/eV per cell
# spin magnetization	0.000	μB per cell
data_KSbRu2
_chemical_formula_sum 'K2 Sb2 Ru4'
_symmetry_space_group_name_H-M 'C 1 2/m 1'
_symmetry_Int_Tables_number 12
_cell_length_a 10.014
_cell_length_b 3.100
_cell_length_c 6.666
_cell_angle_alpha 90.00
_cell_angle_beta 106.43
_cell_angle_gamma 90.00
loop_
_symmetry_equiv_pos_as_xyz
'x,y,z'
'-x,-y,-z'
'-x,y,-z'
'x,-y,z'
'x+1/2,y+1/2,z'
'-x+1/2,-y+1/2,-z'
'-x+1/2,y+1/2,-z'
'x+1/2,-y+1/2,z'
loop_
_atom_site_label
_atom_site_fract_x
_atom_site_fract_y
_atom_site_fract_z
K1 0.000 0.000 0.000
Sb1 0.000 0.500 0.500
Ru1 0.213 0.000 0.628


no.,raw formation energy (eV per formula unit)
1,-3.68
2,10.66
3,-6.36
4,-4.85
5,-0.06
6,12.50
7,3.74
8,2.28